# 1
Below is a relaxed InCu3N crystal, with properties calculated at the GGA-PBE level.

Summary:
* crystal system: cubic
* energy relative to the elements, uncorrected: 2.070 eV per atom
* DFT total energy: -2.601 eV per atom

a b c (Å): 4.768 4.768 4.768
angles (deg): 90.00 90.00 90.00
Space group Pm-3m (No. 221)
Unique sites:
In 0.000 0.000 0.000 x1
Cu 0.000 0.000 0.500 x3
N 0.500 0.500 0.500 x1

=====

# 2
Below is a relaxed BaAcTeP crystal, with properties calculated at the GGA-PBE level.

Summary:
* crystal system: trigonal
* energy relative to the elements, uncorrected: -1.535 eV per atom
* DFT total energy: -5.181 eV per atom

a b c (Å): 4.6542 4.6542 23.7882
angles (deg): 90.00 90.00 120.00
Space group R3m (No. 160, hexagonal axes)
Unique sites:
Ba 0.0000 0.0000 0.0000 x3
Ac 0.0000 0.0000 0.4809 x3
Te 0.0000 0.0000 0.2373 x3
P 0.0000 0.0000 0.7499 x3

=====

# 3
Below is a relaxed ZrTe2Se crystal, with properties calculated at the GGA-PBE level.

Summary:
* crystal system: orthorhombic
* energy relative to the elements, uncorrected: -0.443 eV per atom
* DFT total energy: -5.022 eV per atom

a b c (Å): 3.547 4.571 13.699
angles (deg): 90.00 90.00 90.00
Space group Immm (No. 71)
Unique sites:
Zr 0.000 0.000 0.000 x2
Te 0.000 0.500 0.326 x4
Se 0.000 0.000 0.500 x2

=====

# 4
Below is a relaxed Zr3ScPb crystal, with properties calculated at the GGA-PBE level.

Summary:
* crystal system: cubic
* DFT total energy: -6.141 eV per atom

a b c (Å): 5.390 5.390 5.390
angles (deg): 90.00 90.00 90.00
Space group Pm-3m (No. 221)
Unique sites:
Zr 0.000 0.000 0.500 x3
Sc 0.500 0.500 0.500 x1
Pb 0.000 0.000 0.000 x1

=====

# 5
Below is a relaxed La3NpTl3Te8 crystal, with properties calculated at the GGA-PBE level.

Summary:
* crystal system: trigonal
* energy relative to the elements, uncorrected: -1.028 eV per atom
* DFT total energy: -5.025 eV per atom

a b c (Å): 9.2286 9.2286 24.5310
angles (deg): 90.00 90.00 120.00
Space group R-3m (No. 166, hexagonal axes)
Unique sites:
La 0.0000 0.5000 0.0000 x9
Np 0.0000 0.0000 0.0000 x3
Tl 0.0000 0.5000 0.5000 x9
Te 0.0000 0.0000 0.2591 x6
Te 0.0153 0.5076 0.7379 x18

=====

# 6
Below is a relaxed NaSrTi3 crystal, with properties calculated at the GGA-PBE level.

Summary:
* crystal system: cubic
* DFT total energy: -3.877 eV per atom

a b c (Å): 5.048 5.048 5.048
angles (deg): 90.00 90.00 90.00
Space group Pm-3m (No. 221)
Unique sites:
Na 0.000 0.000 0.000 x1
Sr 0.500 0.500 0.500 x1
Ti 0.000 0.000 0.500 x3

=====

- Which value of DFT total energy does entry 6 give?
  -3.877 eV per atom